Compound: Be2GeF8
Source: the Alexandria database
Functional: PBE
Structure: relaxed

Calculated values
Fermi-level density of states: 0.000 states/eV/cell
SG: C2/m, No. 12
magnetization: 0.15 μB per cell
VASP energy: -5.136 eV per atom
volume: 12.6 Å³/atom
uncorrected formation energy: -2.68 eV per atom

a = 4.6637 Å, b = 6.0030 Å, c = 6.0030 Å
α = 55.67°, β = 86.82°, γ = 86.82°
With the nearest neighbours (Å) after each atom.
Fractional coordinates of all 11 atoms:
Be 0.3785 0.1747 0.1747  1 F 1.42
Be 0.6215 0.8253 0.8253  1 F 1.42
Ge 0.0000 0.0000 0.0000  6 F 1.83-1.84
F 0.7939 0.1179 0.7000  1 Be 1.70, 1 Ge 1.83
F 0.2061 0.3000 0.8821  1 Be 1.70, 1 Ge 1.83
F 0.7094 0.1262 0.1262  1 Be 1.60
F 0.2906 0.8738 0.8738  1 Be 1.60
F 0.7939 0.7000 0.1179  1 Be 1.70, 1 Ge 1.83
F 0.2061 0.8821 0.3000  1 Be 1.70, 1 Ge 1.83
F 0.3280 0.3084 0.3084  1 Be 1.42
F 0.6720 0.6916 0.6916  1 Be 1.42